No. 1
K2Te2As | PBE | optimized geometry

Calculated values
* spin magnetization: 0.0 μB/f.u.
* formation energy without anion corrections: -2.22 eV/f.u.
* N(E_F): 1.0848 states/eV per atom
* E_tot: -15.35 eV per formula unit
* symmetry: P4/mbm (127)

```
10
Lattice="-5.043 -5.906 2.167 2.524 -4.443 -6.237 3.752 -2.099 3.014" Properties=species:S:1:pos:R:3 pbc="T T T"
As 0.000 0.000 0.000
As -1.260 -5.174 -2.035
Te 0.424 -5.665 -4.472
Te -2.516 -7.883 -2.357
Te -2.943 -4.684 0.403
Te -0.004 -2.466 -1.713
K 2.761 -4.821 -2.221
K 0.745 -8.664 -2.388
K -1.528 -7.627 1.165
K 0.488 -3.783 1.332
```


No. 2
CaTa3N | PBE | optimized geometry

Calculated values
* spin magnetization: 0.0 μB/f.u.
* formation energy without anion corrections: 18.30 eV/f.u.
* N(E_F): 1.7980 states/eV per atom
* E_tot: -27.58 eV per formula unit
* symmetry: Pm-3m (221)

```
5
Lattice="-1.989 -3.338 2.644 2.995 0.977 3.487 -3.026 3.161 1.714" Properties=species:S:1:pos:R:3 pbc="T T T"
Ca 0.000 0.000 0.000
N -1.010 0.400 3.922
Ta 1.498 0.488 1.744
Ta -1.513 1.580 0.857
Ta -0.994 -1.669 1.322
```